The following is a PBEsol calculation of a relaxed structure of YZr2Fe, from Alexandria via LeMat-Bulk.

Properties
**DOS at the Fermi energy**: 1.43 states/eV/atom
**Crystal system**: cubic
**SG**: No. 225
**Energy relative to the lowest polymorph listed for this composition**: 6.39 kcal/mol of atoms
**Energy relative to the elements**: 0.319 eV per atom

Lattice parameters (Å, degrees): 6.719 6.719 6.719 90.00 90.00 90.00
Fractional coordinates of all 16 atoms:
Y (0.000, 0.000, 0.000)
Y (0.000, 0.500, 0.500)
Y (0.500, 0.000, 0.500)
Y (0.500, 0.500, 0.000)
Zr (0.250, 0.250, 0.250)
Zr (0.250, 0.250, 0.750)
Zr (0.250, 0.750, 0.250)
Zr (0.250, 0.750, 0.750)
Zr (0.750, 0.250, 0.250)
Zr (0.750, 0.250, 0.750)
Zr (0.750, 0.750, 0.250)
Zr (0.750, 0.750, 0.750)
Fe (0.000, 0.000, 0.500)
Fe (0.000, 0.500, 0.000)
Fe (0.500, 0.000, 0.000)
Fe (0.500, 0.500, 0.500)



The following is a PBEsol calculation of a relaxed structure of TeAs2Pt, from Alexandria via LeMat-Bulk.

Properties
**DOS at the Fermi energy**: 0.48 states/eV/atom
**Crystal system**: trigonal
**SG**: No. 166
**Uncorrected formation energy**: -0.11 eV/atom

Lattice parameters (Å, degrees): 3.843 3.843 19.250 90.00 90.00 120.00
Fractional coordinates of all 12 atoms:
Te (0.000, 0.000, 0.000)
Te (0.333, 0.667, 0.667)
Te (0.667, 0.333, 0.333)
As (0.000, 0.000, 0.233)
As (0.000, 0.000, 0.767)
As (0.333, 0.667, 0.434)
As (0.333, 0.667, 0.900)
As (0.667, 0.333, 0.100)
As (0.667, 0.333, 0.566)
Pt (0.000, 0.000, 0.500)
Pt (0.333, 0.667, 0.167)
Pt (0.667, 0.333, 0.833)



The following is a PBEsol calculation of a relaxed structure of Ta2MnReN, from Alexandria via LeMat-Bulk.

Properties
**DOS at the Fermi energy**: 0.75 states/eV/atom
**Crystal system**: tetragonal
**SG**: No. 123
**Uncorrected formation energy**: -0.23 eV/atom

Lattice parameters (Å, degrees): 4.174 4.174 3.989 90.00 90.00 90.00
Fractional coordinates of all 5 atoms:
Ta (0.000, 0.500, 0.000)
Ta (0.500, 0.000, 0.000)
Mn (0.000, 0.000, 0.500)
Re (0.500, 0.500, 0.500)
N (0.500, 0.500, 0.000)



The following is a PBEsol calculation of a relaxed structure of K2In2Hg, from Alexandria via LeMat-Bulk.

Properties
**DOS at the Fermi energy**: 0.61 states/eV/atom
**Crystal system**: tetragonal
**SG**: No. 139
**Energy relative to the elements**: 0.242 eV per atom

Lattice parameters (Å, degrees): 4.566 4.566 16.141 90.00 90.00 90.00
Fractional coordinates of all 10 atoms:
K (0.000, 0.500, 0.250)
K (0.000, 0.500, 0.750)
K (0.500, 0.000, 0.250)
K (0.500, 0.000, 0.750)
In (0.000, 0.000, 0.086)
In (0.000, 0.000, 0.914)
In (0.500, 0.500, 0.414)
In (0.500, 0.500, 0.586)
Hg (0.000, 0.000, 0.500)
Hg (0.500, 0.500, 0.000)



The following is a PBEsol calculation of a relaxed structure of ZnHg2Ru, from Alexandria via LeMat-Bulk.

Properties
**DOS at the Fermi energy**: 0.77 states/eV/atom
**Crystal system**: orthorhombic
**SG**: No. 47
**Energy relative to the elements**: 0.390 eV per atom

Lattice parameters (Å, degrees): 2.952 3.993 5.732 90.00 90.00 90.00
Fractional coordinates of all 4 atoms:
Zn (0.000, 0.000, 0.000)
Hg (0.500, 0.500, 0.252)
Hg (0.500, 0.500, 0.748)
Ru (0.000, 0.000, 0.500)



The following is a PBEsol calculation of a relaxed structure of Ca2Cu, from Alexandria via LeMat-Bulk.

Properties
**DOS at the Fermi energy**: 0.92 states/eV/atom
**Crystal system**: tetragonal
**SG**: No. 139
**Energy relative to the elements**: -0.012 eV per atom

Lattice parameters (Å, degrees): 3.555 3.555 12.878 90.00 90.00 90.00
Fractional coordinates of all 6 atoms:
Ca (0.000, 0.000, 0.132)
Ca (0.000, 0.000, 0.868)
Ca (0.500, 0.500, 0.368)
Ca (0.500, 0.500, 0.632)
Cu (0.000, 0.000, 0.500)
Cu (0.500, 0.500, 0.000)



The following is a PBEsol calculation of a relaxed structure of HgAsRhSe2, from Alexandria via LeMat-Bulk.

Properties
**DOS at the Fermi energy**: 1.44 states/eV/atom
**Crystal system**: tetragonal
**SG**: No. 123
**Uncorrected formation energy**: 1.45 eV/atom

Lattice parameters (Å, degrees): 5.079 5.079 4.993 90.00 90.00 90.00
Fractional coordinates of all 5 atoms:
Hg (0.000, 0.000, 0.000)
As (0.000, 0.000, 0.500)
Rh (0.500, 0.500, 0.500)
Se (0.000, 0.500, 0.000)
Se (0.500, 0.000, 0.000)



The following is a PBEsol calculation of a relaxed structure of LaMg2Re, from Alexandria via LeMat-Bulk.

Properties
**DOS at the Fermi energy**: 0.71 states/eV/atom
**Crystal system**: tetragonal
**SG**: No. 99
**Energy relative to the elements**: 0.363 eV per atom

Lattice parameters (Å, degrees): 3.440 3.440 7.579 90.00 90.00 90.00
Fractional coordinates of all 4 atoms:
La (0.000, 0.000, 0.000)
Mg (0.000, 0.000, 0.593)
Mg (0.500, 0.500, 0.364)
Re (0.500, 0.500, 0.767)



The following is a PBEsol calculation of a relaxed structure of Sr2TaCoAg, from Alexandria via LeMat-Bulk.

Properties
**DOS at the Fermi energy**: 1.33 states/eV/atom
**Crystal system**: tetragonal
**SG**: No. 123
**Energy relative to the elements**: 1.502 eV per atom

Lattice parameters (Å, degrees): 5.798 5.798 4.983 90.00 90.00 90.00
Fractional coordinates of all 5 atoms:
Sr (0.000, 0.500, 0.000)
Sr (0.500, 0.000, 0.000)
Ta (0.000, 0.000, 0.500)
Co (0.500, 0.500, 0.500)
Ag (0.000, 0.000, 0.000)



The following is a PBEsol calculation of a relaxed structure of TlNi2Rh, from Alexandria via LeMat-Bulk.

Properties
**DOS at the Fermi energy**: 1.58 states/eV/atom
**Crystal system**: trigonal
**SG**: No. 160
**Energy relative to the lowest polymorph listed for this composition**: 6.07 kcal/mol of atoms
**Energy relative to the elements**: 0.454 eV per atom

Lattice parameters (Å, degrees): 2.870 2.870 24.325 90.00 90.00 120.00
Fractional coordinates of all 12 atoms:
Tl (0.000, 0.000, 0.000)
Tl (0.333, 0.667, 0.667)
Tl (0.667, 0.333, 0.333)
Ni (0.000, 0.000, 0.493)
Ni (0.000, 0.000, 0.755)
Ni (0.333, 0.667, 0.160)
Ni (0.333, 0.667, 0.422)
Ni (0.667, 0.333, 0.088)
Ni (0.667, 0.333, 0.827)
Rh (0.000, 0.000, 0.239)
Rh (0.333, 0.667, 0.905)
Rh (0.667, 0.333, 0.572)



The following is a PBEsol calculation of a relaxed structure of Te2PbSe, from Alexandria via LeMat-Bulk.

Properties
**DOS at the Fermi energy**: 0.49 states/eV/atom
**Crystal system**: monoclinic
**SG**: No. 6
**Uncorrected formation energy**: -0.18 eV/atom

Lattice parameters (Å, degrees): 4.342 4.345 6.341 90.00 90.07 90.00
Fractional coordinates of all 4 atoms:
Te (0.000, 0.000, 0.000)
Te (0.500, 0.500, 0.000)
Pb (0.498, 0.500, 0.500)
Se (0.999, 0.000, 0.500)



The following is a PBEsol calculation of a relaxed structure of ZrSiAg2, from Alexandria via LeMat-Bulk.

Properties
**DOS at the Fermi energy**: 0.50 states/eV/atom
**Crystal system**: orthorhombic
**SG**: No. 35
**Uncorrected formation energy**: -0.13 eV/atom

Lattice parameters (Å, degrees): 4.025 4.405 7.681 90.00 90.00 90.00
Fractional coordinates of all 8 atoms:
Zr (0.000, 0.000, 0.000)
Zr (0.500, 0.500, 0.000)
Si (0.000, 0.500, 0.761)
Si (0.500, 0.000, 0.761)
Ag (0.000, 0.000, 0.540)
Ag (0.000, 0.500, 0.281)
Ag (0.500, 0.000, 0.281)
Ag (0.500, 0.500, 0.540)



| no. | size of the total moment (μB per atom) | calculated total energy (eV/atom) |
| --- | --- | --- |
| 1 | 0.004 | -8.17 |
| 2 | 0.000 | -5.29 |
| 3 | 0.538 | -11.58 |
| 4 | 0.000 | -1.52 |
| 5 | 0.173 | -2.83 |
| 6 | 0.000 | -2.88 |
| 7 | 0.262 | -2.86 |
| 8 | 0.000 | -5.17 |
| 9 | 0.768 | -3.95 |
| 10 | 0.325 | -5.32 |
| 11 | 0.000 | -3.91 |
| 12 | 0.000 | -5.49 |